1.
Below is a relaxed Y5Ag4Rh crystal, with properties calculated at the PBE level. Values from VASP.

```
&SYSTEM
  ibrav = 0, nat = 10, ntyp = 3
/
ATOMIC_SPECIES
Ag 107.87 Ag.upf
Y 88.91 Y.upf
Rh 102.91 Rh.upf
ATOMIC_POSITIONS angstrom
Ag -4.195 -4.911 13.152
Y -1.799 -5.373 7.548
Y 0.337 -2.873 0.854
Rh 0.000 0.000 0.000
Ag -3.133 -3.668 9.823
Ag -1.010 -1.183 3.168
Ag -2.072 -2.426 6.497
Y -0.731 -4.123 4.200
Y -3.934 -7.872 14.242
Y -2.866 -6.623 10.896
CELL_PARAMETERS angstrom
-1.488 -2.872 -1.547
3.097 -1.779 0.324
-5.206 -6.094 16.320
```

Output
space-group type	P4/mmm
D(E_F)	6.4	states/eV/f.u.
final energy	-5.5395	eV/atom
crystal system	tetragonal



2.
Below is a relaxed YAgRh crystal, with properties calculated at the PBE level. Values from VASP.

```
&SYSTEM
  ibrav = 0, nat = 3, ntyp = 3
/
ATOMIC_SPECIES
Y 88.91 Y.upf
Rh 102.91 Rh.upf
Ag 107.87 Ag.upf
ATOMIC_POSITIONS angstrom
Y -1.817 -2.869 0.754
Rh -1.865 -0.947 -1.731
Ag -0.445 -0.070 0.334
CELL_PARAMETERS angstrom
-2.797 0.837 -3.552
1.350 -4.302 0.898
-2.679 -0.421 2.011
```

Output
space-group type	P3m1
D(E_F)	1.8	states/eV/f.u.
final energy	-5.9028	eV/atom
crystal system	trigonal
offset from the most stable computed form	122	meV per atom



3.
Below is a relaxed Y3AgRh crystal, with properties calculated at the PBE level. Values from VASP.

```
&SYSTEM
  ibrav = 0, nat = 5, ntyp = 3
/
ATOMIC_SPECIES
Y 88.91 Y.upf
Rh 102.91 Rh.upf
Ag 107.87 Ag.upf
ATOMIC_POSITIONS angstrom
Y -0.918 -2.178 1.241
Rh 0.000 0.000 0.000
Y 2.482 -0.974 0.127
Ag 1.913 -1.954 3.727
Y 0.349 1.197 2.360
CELL_PARAMETERS angstrom
-1.835 -4.355 2.482
4.964 -1.947 0.254
0.698 2.395 4.719
```

Output
space-group type	Pm-3m
D(E_F)	2.5	states/eV/f.u.
final energy	-6.1245	eV/atom
crystal system	cubic
offset from the most stable computed form	258	meV per atom



4.
Below is a relaxed Y2AgRh4 crystal, with properties calculated at the PBE level. Values from VASP.

```
&SYSTEM
  ibrav = 0, nat = 7, ntyp = 3
/
ATOMIC_SPECIES
Rh 102.91 Rh.upf
Y 88.91 Y.upf
Ag 107.87 Ag.upf
ATOMIC_POSITIONS angstrom
Rh -4.460 3.040 0.697
Rh -1.783 -0.346 -1.581
Y -3.748 0.666 0.413
Ag 0.000 0.000 0.000
Rh -7.232 0.451 0.721
Y -7.944 2.826 1.005
Rh -1.466 -0.654 1.796
CELL_PARAMETERS angstrom
-3.566 -0.691 -3.163
-2.931 -1.308 3.591
-5.195 5.491 0.990
```

Output
space-group type	I4/mmm
D(E_F)	12.3	states/eV/f.u.
final energy	-6.0050	eV/atom
crystal system	tetragonal



5.
Below is a relaxed YAgRh2 crystal, with properties calculated at the PBE level. Values from VASP.

```
&SYSTEM
  ibrav = 0, nat = 4, ntyp = 3
/
ATOMIC_SPECIES
Rh 102.91 Rh.upf
Y 88.91 Y.upf
Ag 107.87 Ag.upf
ATOMIC_POSITIONS angstrom
Rh 0.000 0.000 0.000
Y -3.694 4.632 -6.221
Ag -2.462 3.088 -4.147
Rh -1.231 1.544 -2.074
CELL_PARAMETERS angstrom
-0.180 4.208 -2.032
-0.682 0.341 -4.614
-4.062 1.628 -1.649
```

Output
space-group type	F-43m
D(E_F)	5.5	states/eV/f.u.
final energy	-6.2024	eV/atom
crystal system	cubic



6.
Below is a relaxed Y4Ag2Rh crystal, with properties calculated at the PBE level. Values from VASP.

```
&SYSTEM
  ibrav = 0, nat = 7, ntyp = 3
/
ATOMIC_SPECIES
Ag 107.87 Ag.upf
Y 88.91 Y.upf
Rh 102.91 Rh.upf
ATOMIC_POSITIONS angstrom
Ag -2.733 1.467 1.792
Y -6.379 5.815 3.369
Y -3.666 4.409 1.572
Rh 0.000 0.000 0.000
Y -7.205 1.275 5.611
Y -4.492 -0.131 3.814
Ag -8.139 4.217 5.390
CELL_PARAMETERS angstrom
-4.718 -1.419 1.045
-1.586 -0.146 4.778
-4.568 7.249 1.359
```

Output
space-group type	R-3m
D(E_F)	6.9	states/eV/f.u.
final energy	-5.8900	eV/atom
crystal system	trigonal



7.
Below is a relaxed Y3AgRh crystal, with properties calculated at the PBE level. Values from VASP.

```
&SYSTEM
  ibrav = 0, nat = 10, ntyp = 3
/
ATOMIC_SPECIES
Y 88.91 Y.upf
Rh 102.91 Rh.upf
Ag 107.87 Ag.upf
ATOMIC_POSITIONS angstrom
Y 0.360 -0.354 2.310
Rh 0.170 3.281 9.710
Y -1.333 -0.981 6.927
Ag -0.358 1.216 4.994
Ag -0.615 -2.550 4.243
Y -2.577 -3.118 1.603
Rh -1.143 -4.616 -0.472
Y 1.845 -1.057 5.340
Y 1.604 1.784 7.634
Y -2.818 -0.278 3.897
CELL_PARAMETERS angstrom
-3.647 3.357 2.580
-1.536 -6.146 -0.658
4.210 1.455 7.316
```

Output
space-group type	P-1
D(E_F)	4.2	states/eV/f.u.
final energy	-6.3822	eV/atom
crystal system	triclinic
offset from the most stable computed form	0	meV per atom



8.
Below is a relaxed Yb2AgRh crystal, with properties calculated at the PBE level. Values from VASP.

```
&SYSTEM
  ibrav = 0, nat = 4, ntyp = 3
/
ATOMIC_SPECIES
Ag 107.87 Ag.upf
Rh 102.91 Rh.upf
Yb 173.04 Yb.upf
ATOMIC_POSITIONS angstrom
Ag 2.306 0.953 1.677
Rh 6.917 2.858 5.030
Yb 7.589 3.204 2.121
Yb 4.612 1.905 3.353
CELL_PARAMETERS angstrom
4.760 -0.653 1.015
2.830 3.857 1.106
1.634 0.606 4.585
```

Output
space-group type	Fm-3m
D(E_F)	0.4	states/eV/f.u.
final energy	-3.8327	eV/atom
crystal system	cubic



9.
Below is a relaxed Zn4Ag3Rh crystal, with properties calculated at the PBE level. Values from VASP.

```
&SYSTEM
  ibrav = 0, nat = 8, ntyp = 3
/
ATOMIC_SPECIES
Ag 107.87 Ag.upf
Zn 65.41 Zn.upf
Rh 102.91 Rh.upf
ATOMIC_POSITIONS angstrom
Ag -2.512 -1.766 2.421
Zn -0.305 -0.400 1.391
Ag -3.240 -2.720 5.738
Rh -1.837 -0.880 -0.656
Zn -2.501 -3.279 11.397
Zn -1.040 -1.363 4.739
Ag -3.968 -3.675 9.055
Zn -1.767 -2.316 8.050
CELL_PARAMETERS angstrom
-2.842 0.982 -0.341
-0.832 -2.743 -0.972
-2.807 -3.680 12.789
```

Output
space-group type	P4/mmm
D(E_F)	2.3	states/eV/f.u.
final energy	-2.7635	eV/atom
crystal system	tetragonal



10.
Below is a relaxed Zn6AgRh2 crystal, with properties calculated at the PBE level. Values from VASP.

```
&SYSTEM
  ibrav = 0, nat = 9, ntyp = 3
/
ATOMIC_SPECIES
Zn 65.41 Zn.upf
Rh 102.91 Rh.upf
Ag 107.87 Ag.upf
ATOMIC_POSITIONS angstrom
Zn 1.357 6.341 -1.377
Zn 0.887 4.238 -2.624
Zn 1.803 2.032 0.844
Rh 0.257 4.241 0.106
Zn 0.090 -0.142 5.043
Ag 0.000 0.000 0.000
Zn -0.356 4.168 2.822
Rh 1.189 1.958 3.561
Zn 1.104 2.141 -1.543
CELL_PARAMETERS angstrom
2.666 -0.140 -0.807
-0.675 6.519 -3.360
-0.544 -0.180 7.834
```

Output
space-group type	C2/m
D(E_F)	3.1	states/eV/f.u.
final energy	-2.9980	eV/atom
crystal system	monoclinic



11.
Below is a relaxed ZnAgRh2 crystal, with properties calculated at the PBE level. Values from VASP.

```
&SYSTEM
  ibrav = 0, nat = 4, ntyp = 3
/
ATOMIC_SPECIES
Zn 65.41 Zn.upf
Ag 107.87 Ag.upf
Rh 102.91 Rh.upf
ATOMIC_POSITIONS angstrom
Zn 6.621 3.823 2.703
Ag 4.414 2.549 1.802
Rh 2.207 1.274 0.901
Rh 0.000 0.000 0.000
CELL_PARAMETERS angstrom
4.414 0.000 0.000
2.207 3.823 0.000
2.207 1.274 3.604
```

Output
space-group type	F-43m
D(E_F)	4.3	states/eV/f.u.
final energy	-4.6205	eV/atom
crystal system	cubic



12.
Below is a relaxed Zn2AgRh crystal, with properties calculated at the PBE level. Values from VASP.

```
&SYSTEM
  ibrav = 0, nat = 4, ntyp = 3
/
ATOMIC_SPECIES
Rh 102.91 Rh.upf
Zn 65.41 Zn.upf
Ag 107.87 Ag.upf
ATOMIC_POSITIONS angstrom
Rh 2.254 0.785 1.219
Zn 8.007 2.789 0.105
Zn 4.535 1.580 2.332
Ag 6.762 2.356 3.657
CELL_PARAMETERS angstrom
4.504 0.000 0.000
3.529 2.798 0.000
0.982 0.342 4.876
```

Output
space-group type	C2/m
D(E_F)	2.1	states/eV/f.u.
final energy	-3.3215	eV/atom
crystal system	monoclinic